## TiInIrO6 (PBE)

Data for a geometry-optimized TiInIrO6 structure.

Calculated values
Formation energy (no corrections): -1.634 eV/atom
Space group: P4_2nm, No. 102

The structure in extended XYZ format:
```
18
Lattice="4.718 0.000 0.000 0.000 4.718 0.000 0.000 0.000 9.492" Properties=species:S:1:pos:R:3 pbc="T T T"
Ti 0.000 0.000 0.000
Ti 2.359 2.359 4.746
In 0.000 0.000 3.160
In 2.359 2.359 7.906
Ir 0.000 0.000 6.321
Ir 2.359 2.359 1.575
O 0.850 0.850 7.924
O 0.962 0.962 4.878
O 0.986 0.986 1.459
O 1.374 3.345 6.205
O 1.397 3.321 0.132
O 1.509 3.209 3.178
O 3.209 1.509 3.178
O 3.321 1.397 0.132
O 3.345 1.374 6.205
O 3.733 3.733 1.459
O 3.757 3.757 4.878
O 3.868 3.868 7.924
```